[1]
DFT (GGA-PBE) results for an optimized crystal structure of ReOsRu2.

```
ReOsRu2
1.0
4.705 -0.007 -0.002
1.544 4.445 0.002
-3.123 -2.221 2.730
Re Ru Os
1 2 1
Cartesian
0.772 2.221 1.366
2.353 -0.004 1.364
0.000 0.000 0.000
3.125 2.219 0.000
```

- offset from the most stable computed form (meV per atom) = 128
- DOS(E_F) (states/eV/atom) = 1.079
- space group = No. 119
- total energy (eV per atom) = -10.50
- energy relative to the elements (eV/atom) = 0.055


[2]
DFT (GGA-PBE) results for an optimized crystal structure of ReOs2Ru.

```
ReOs2Ru
1.0
4.730 0.004 0.000
-1.574 4.461 0.000
0.000 0.000 2.729
Os Ru Re
2 1 1
Cartesian
1.578 2.232 0.000
0.000 0.000 0.000
-0.787 2.230 1.364
2.365 0.002 1.364
```

- offset from the most stable computed form (meV per atom) = 142
- DOS(E_F) (states/eV/atom) = 1.002
- space group = No. 65
- total energy (eV per atom) = -10.97
- energy relative to the elements (eV/atom) = 0.077